DyScPt4 after structural relaxation, computed with PBE.

Output
The final energy comes out at -6.742 eV/atom. The energy relative to the lowest polymorph listed for this composition comes out at 0.152 eV/atom. As for the formation energy: -86.09 kJ/mol of atoms.

abc: 3.8978 3.8978 8.1934
angles: 90.00 90.00 90.00
Last column: nearest neighbours and their distance in Å.
Space group P4/mmm (No. 123)
One atom of each set of equivalent atoms:
1 Dy 0.0000 0.0000 0.0000 x1  8 Pt 2.90
2 Sc 0.5000 0.5000 0.5000 x1  8 Pt 2.75
3 Pt 0.0000 0.5000 0.2628 x4  2 Sc 2.75, 4 Pt 2.76, 2 Dy 2.90